A relaxed Rb2NaGe2 crystal, computed with GGA-PBE.

Results
Volume ... 202.0 Å³/f.u.
DOS(E_F) ... 3.7 states/eV/cell
Energy relative to the elements ... 0.122 eV/atom
Offset from the most stable computed form ... 151 meV per atom

Lattice parameters (Å, degrees): 5.3351 5.3351 8.0375 70.62 70.62 90.00
With the nearest neighbours (Å) after each atom.
Atoms (fractional coordinates):
1 Rb 0.2500 0.7500 0.5000  4 Ge 3.59, 4 Rb 3.77
2 Na 0.0000 0.0000 0.0000  8 Ge 3.94
3 Rb 0.7500 0.2500 0.5000  4 Ge 3.59, 4 Rb 3.77
4 Ge 0.4189 0.4189 0.1622  1 Ge 2.30
5 Ge 0.5811 0.5811 0.8378  1 Ge 2.30